# 1
Below is an optimized crystal structure of LaSmAs, with properties calculated at the GGA-PBE level.

Properties
Formation energy from the elements ... -0.85 eV per atom

Cell: 7.0965 7.0965 7.0965 Å, 90.00 90.00 90.00°
Space group F-43m (No. 216)
Unique sites:
La 0.0000 0.0000 0.0000 (multiplicity 4)
Sm 0.0000 0.0000 0.5000 (multiplicity 4)
As 0.2500 0.2500 0.7500 (multiplicity 4)

***

# 2
Below is an optimized crystal structure of Ta5Pb, with properties calculated at the GGA-PBE level.

Properties
Formation energy from the elements ... 0.39 eV per atom

Cell: 4.9961 2.8451 16.4560 Å, 90.00 90.00 90.00°
Space group Amm2 (No. 38)
Unique sites:
Ta 0.0000 0.0000 0.0000 (multiplicity 2)
Ta 0.0000 0.0000 0.3244 (multiplicity 2)
Ta 0.0000 0.0000 0.6614 (multiplicity 2)
Ta 0.5000 0.0000 0.0911 (multiplicity 2)
Ta 0.5000 0.0000 0.7523 (multiplicity 2)
Pb 0.5000 0.0000 0.4233 (multiplicity 2)

***

# 3
Below is an optimized crystal structure of RbInHgI4, with properties calculated at the GGA-PBE level.

Properties
Formation energy (no corrections) ... -735 meV per atom

Cell: 20.5434 8.5830 8.8713 Å, 90.00 108.28 90.00°
Space group C2/m (No. 12)
Unique sites:
Rb 0.2147 0.0000 0.2477 (multiplicity 4)
In 0.1527 0.0000 0.6962 (multiplicity 4)
Hg 0.0260 0.5000 0.8281 (multiplicity 4)
I 0.0657 0.0000 0.8757 (multiplicity 4)
I 0.1334 0.2571 0.4986 (multiplicity 8)
I 0.2126 0.5000 0.1015 (multiplicity 4)

***

# 4
Below is an optimized crystal structure of KSO2, with properties calculated at the GGA-PBE level.

Properties
Formation energy (no corrections) ... -29 meV per atom

Cell: 3.3088 3.3088 19.8973 Å, 90.00 90.00 120.00°
Space group R-3m (No. 166, hexagonal axes)
Unique sites:
K 0.0000 0.0000 0.0000 (multiplicity 3)
S 0.0000 0.0000 0.5000 (multiplicity 3)
O 0.0000 0.0000 0.1210 (multiplicity 6)

***

# 5
Below is an optimized crystal structure of RbMnS2N, with properties calculated at the GGA-PBE level.

Properties
Offset from the most stable computed form ... 0.0000 eV per atom
Formation energy (no corrections) ... 6 meV per atom

Cell: 5.1186 5.1186 3.5964 Å, 90.00 90.00 90.00°
Space group P4/mmm (No. 123)
Unique sites:
Rb 0.0000 0.0000 0.0000 (multiplicity 1)
Mn 0.5000 0.5000 0.5000 (multiplicity 1)
S 0.0000 0.5000 0.5000 (multiplicity 2)
N 0.5000 0.5000 0.0000 (multiplicity 1)

***

# 6
Below is an optimized crystal structure of YSc3Cl, with properties calculated at the GGA-PBE level.

Properties
Offset from the most stable computed form ... 1.2954 eV per atom
Formation energy (no corrections) ... 914 meV per atom

Cell: 5.4578 5.4578 5.4578 Å, 90.00 90.00 90.00°
Space group Pm-3m (No. 221)
Unique sites:
Y 0.0000 0.0000 0.0000 (multiplicity 1)
Sc 0.0000 0.0000 0.5000 (multiplicity 3)
Cl 0.5000 0.5000 0.5000 (multiplicity 1)

***

# 7
Below is an optimized crystal structure of AgSn2Bi, with properties calculated at the GGA-PBE level.

Properties
Formation energy from the elements ... 0.10 eV per atom

Cell: 4.4722 4.4722 19.7256 Å, 90.00 90.00 120.00°
Space group R3m (No. 160, hexagonal axes)
Unique sites:
Ag 0.0000 0.0000 0.0000 (multiplicity 3)
Sn 0.0000 0.0000 0.4005 (multiplicity 3)
Sn 0.0000 0.0000 0.5984 (multiplicity 3)
Bi 0.0000 0.0000 0.8332 (multiplicity 3)

***

# 8
Below is an optimized crystal structure of ScTcC2, with properties calculated at the GGA-PBE level.

Properties
Offset from the most stable computed form ... 0.0000 eV per atom
Formation energy from the elements ... -0.13 eV per atom

Cell: 3.1018 3.1018 15.7397 Å, 90.00 90.00 120.00°
Space group R-3m (No. 166, hexagonal axes)
Unique sites:
Sc 0.0000 0.0000 0.0000 (multiplicity 3)
Tc 0.0000 0.0000 0.5000 (multiplicity 3)
C 0.0000 0.0000 0.2439 (multiplicity 6)

***

# 9
Below is an optimized crystal structure of CsErSnCl6, with properties calculated at the GGA-PBE level.

Properties
Formation energy (no corrections) ... -1844 meV per atom

Cell: 7.2814 7.2814 7.5633 Å, 90.00 90.00 120.00°
Space group P312 (No. 149)
Unique sites:
Cs 0.0000 0.0000 0.0000 (multiplicity 1)
Er 0.6667 0.3333 0.5000 (multiplicity 1)
Sn 0.3333 0.6667 0.5000 (multiplicity 1)
Cl 0.3887 0.0235 0.7020 (multiplicity 6)

***

# 10
Below is an optimized crystal structure of Y6In2Co, with properties calculated at the GGA-PBE level.

Properties
Formation energy from the elements ... -0.26 eV per atom

Cell: 12.2821 7.1116 7.1120 Å, 90.00 125.39 90.00°
Space group C2/m (No. 12)
Unique sites:
Y 0.0027 0.2466 0.2561 (multiplicity 8)
Y 0.2467 0.0000 0.7521 (multiplicity 4)
In 0.2500 0.0000 0.2500 (multiplicity 4)
Co 0.0000 0.5000 0.0000 (multiplicity 2)

***

# 11
Below is an optimized crystal structure of LiTm2Pu3Se6, with properties calculated at the GGA-PBE level.

Properties
Formation energy (no corrections) ... -1567 meV per atom

Cell: 17.7966 4.0788 8.1581 Å, 90.00 102.93 90.00°
Space group C2/m (No. 12)
Unique sites:
Li 0.0000 0.0000 0.0000 (multiplicity 2)
Tm 0.1654 0.5000 0.3343 (multiplicity 4)
Pu 0.0000 0.0000 0.5000 (multiplicity 2)
Pu 0.1661 0.5000 0.8364 (multiplicity 4)
Se 0.0033 0.5000 0.2413 (multiplicity 4)
Se 0.1636 0.0000 0.0904 (multiplicity 4)
Se 0.1694 0.0000 0.5799 (multiplicity 4)

***

# 12
Below is an optimized crystal structure of NaInSe2, with properties calculated at the GGA-PBE level.

Properties
Formation energy (no corrections) ... -810 meV per atom

Cell: 4.2523 7.2267 8.2781 Å, 90.00 90.62 90.00°
Space group P2_1 (No. 4)
Unique sites:
Na 0.0081 0.0000 0.3377 (multiplicity 2)
In 0.4948 0.0004 0.8518 (multiplicity 2)
Se 0.0085 0.5990 0.3195 (multiplicity 2)
Se 0.4959 0.6370 0.8579 (multiplicity 2)

***

# 13
Below is an optimized crystal structure of Ti3TcOs, with properties calculated at the GGA-PBE level.

Properties
Offset from the most stable computed form ... 1.3816 eV per atom
Formation energy from the elements ... 0.86 eV per atom

Cell: 4.6510 4.6510 4.6510 Å, 90.00 90.00 90.00°
Space group Pm-3m (No. 221)
Unique sites:
Ti 0.0000 0.0000 0.5000 (multiplicity 3)
Tc 0.5000 0.5000 0.5000 (multiplicity 1)
Os 0.0000 0.0000 0.0000 (multiplicity 1)

***

# 14
Below is an optimized crystal structure of MnCrAs2, with properties calculated at the GGA-PBE level.

Properties
Offset from the most stable computed form ... 0.0698 eV per atom
Formation energy from the elements ... -0.03 eV per atom

Cell: 8.6401 3.1349 4.2692 Å, 90.00 101.83 90.00°
Space group Cm (No. 8)
Unique sites:
Mn 0.0000 0.0000 0.0000 (multiplicity 2)
Cr 0.2037 0.0000 0.5895 (multiplicity 2)
As 0.2262 0.5000 0.0979 (multiplicity 2)
As 0.4809 0.0000 0.5030 (multiplicity 2)

***

# 15
Below is an optimized crystal structure of Ba2CrSb, with properties calculated at the GGA-PBE level.

Properties
Formation energy (no corrections) ... 46 meV per atom

Cell: 3.9734 3.9734 9.6730 Å, 90.00 90.00 90.00°
Space group P4mm (No. 99)
Unique sites:
Ba 0.0000 0.0000 0.0000 (multiplicity 1)
Ba 0.5000 0.5000 0.3947 (multiplicity 1)
Cr 0.0000 0.0000 0.6611 (multiplicity 1)
Sb 0.5000 0.5000 0.7503 (multiplicity 1)

***

# 16
Below is an optimized crystal structure of Ti4NiIr2, with properties calculated at the GGA-PBE level.

Properties
Formation energy from the elements ... -0.59 eV per atom

Cell: 4.3314 4.3314 20.8552 Å, 90.00 90.00 120.00°
Space group R-3m (No. 166, hexagonal axes)
Unique sites:
Ti 0.0000 0.0000 0.1203 (multiplicity 6)
Ti 0.0000 0.0000 0.3717 (multiplicity 6)
Ni 0.0000 0.0000 0.5000 (multiplicity 3)
Ir 0.0000 0.0000 0.2469 (multiplicity 6)

***

# 17
Below is an optimized crystal structure of Ca2LuHg, with properties calculated at the GGA-PBE level.

Properties
Offset from the most stable computed form ... 0.0000 eV per atom
Formation energy from the elements ... -0.13 eV per atom

Cell: 4.0201 4.0201 7.5781 Å, 90.00 90.00 90.00°
Space group P4/mmm (No. 123)
Unique sites:
Ca 0.0000 0.0000 0.2270 (multiplicity 2)
Lu 0.5000 0.5000 0.5000 (multiplicity 1)
Hg 0.5000 0.5000 0.0000 (multiplicity 1)

***

# 18
Below is an optimized crystal structure of PmErCdCu, with properties calculated at the GGA-PBE level.

Properties
Formation energy from the elements ... -0.21 eV per atom

Cell: 7.3044 7.3044 7.3044 Å, 90.00 90.00 90.00°
Space group F-43m (No. 216)
Unique sites:
Pm 0.0000 0.0000 0.0000 (multiplicity 4)
Er 0.0000 0.0000 0.5000 (multiplicity 4)
Cd 0.2500 0.2500 0.7500 (multiplicity 4)
Cu 0.2500 0.2500 0.2500 (multiplicity 4)

***

# 19
Below is an optimized crystal structure of RbCdPb3, with properties calculated at the GGA-PBE level.

Properties
Offset from the most stable computed form ... 0.2770 eV per atom
Formation energy from the elements ... 0.19 eV per atom

Cell: 5.8692 5.8692 5.8692 Å, 90.00 90.00 90.00°
Space group Pm-3m (No. 221)
Unique sites:
Rb 0.0000 0.0000 0.0000 (multiplicity 1)
Cd 0.5000 0.5000 0.5000 (multiplicity 1)
Pb 0.0000 0.5000 0.5000 (multiplicity 3)

***

# 20
Below is an optimized crystal structure of HfTa2HRh, with properties calculated at the GGA-PBE level.

Properties
Offset from the most stable computed form ... 0.0030 eV per atom

Cell: 3.9387 3.9387 4.8188 Å, 90.00 90.00 90.00°
Space group P4/mmm (No. 123)
Unique sites:
Hf 0.0000 0.0000 0.0000 (multiplicity 1)
Ta 0.0000 0.5000 0.5000 (multiplicity 2)
H 0.5000 0.5000 0.5000 (multiplicity 1)
Rh 0.5000 0.5000 0.0000 (multiplicity 1)